BaCa2Tc: relaxed, PBE-GGA.

Values from the calculation:
- ΔH_f (0 K) (meV/atom) = 692.6
- distance to the lowest polymorph of the same formula (eV per atom) = 0.173
- volume (Å³ per cell) = 121

```
data_BaCa2Tc
_cell_length_a 5.5453
_cell_length_b 5.5453
_cell_length_c 5.5453
_cell_angle_alpha 60.00
_cell_angle_beta 60.00
_cell_angle_gamma 60.00
_symmetry_space_group_name_H-M 'P 1'
_symmetry_Int_Tables_number 1
loop_
_symmetry_equiv_pos_as_xyz
'x,y,z'
loop_
_atom_site_label
_atom_site_fract_x
_atom_site_fract_y
_atom_site_fract_z
Ca1 0.2500 0.2500 0.2500
Ca2 0.7500 0.7500 0.7500
Tc1 0.0000 0.0000 0.0000
Ba1 0.5000 0.5000 0.5000
```



BaCa2Tc: relaxed, PBE-GGA.

Values from the calculation:
- ΔH_f (0 K) (meV/atom) = 722.1
- distance to the lowest polymorph of the same formula (eV per atom) = 0.202
- volume (Å³ per cell) = 126

```
data_BaCa2Tc
_cell_length_a 5.1546
_cell_length_b 4.9402
_cell_length_c 4.9402
_cell_angle_alpha 90.00
_cell_angle_beta 90.00
_cell_angle_gamma 90.00
_symmetry_space_group_name_H-M 'P 1'
_symmetry_Int_Tables_number 1
loop_
_symmetry_equiv_pos_as_xyz
'x,y,z'
loop_
_atom_site_label
_atom_site_fract_x
_atom_site_fract_y
_atom_site_fract_z
Ca1 0.0000 0.5000 0.5000
Ca2 0.0000 0.0000 0.0000
Ba1 0.5000 0.0000 0.5000
Tc1 0.5000 0.5000 0.0000
```